[1]
TbPr2Al12Co3: relaxed, PBE.

Values from the calculation:
Formation enthalpy at 0 K = -0.007 eV/atom
Space-group type = R-3m (166)
V = 388.59 Å³/cell

Cell lengths 7.9709, 7.9709, 7.9709 Å; angles 63.86, 63.86, 63.86 degrees
Closest atoms and distances in Å follow each position.
Positions (direct):
Tb 0.0000 0.0000 0.0000  12 Al 3.23-3.42
Pr 0.4144 0.4144 0.4144  6 Al 3.07-3.33, 1 Pr 3.24
Pr 0.5856 0.5856 0.5856  6 Al 3.07-3.33, 1 Pr 3.24
Al 0.0980 0.7224 0.7224  2 Co 2.21
Al 0.1604 0.1604 0.5268  1 Co 2.29
Al 0.1604 0.5268 0.1604  1 Co 2.29
Al 0.2776 0.2776 0.9020  2 Co 2.21
Al 0.2776 0.9020 0.2776  2 Co 2.21
Al 0.4732 0.8396 0.8396  1 Co 2.29
Al 0.5268 0.1604 0.1604  1 Co 2.29
Al 0.7224 0.0980 0.7224  2 Co 2.21
Al 0.7224 0.7224 0.0980  2 Co 2.21
Al 0.8396 0.4732 0.8396  1 Co 2.29
Al 0.8396 0.8396 0.4732  1 Co 2.29
Al 0.9020 0.2776 0.2776  2 Co 2.21
Co 0.0000 0.0000 0.5000  6 Al 2.21-2.29
Co 0.0000 0.5000 0.0000  6 Al 2.21-2.29
Co 0.5000 0.0000 0.0000  6 Al 2.21-2.29

[2]
Ca2BeTl: relaxed, PBE.

Values from the calculation:
Formation enthalpy at 0 K = 0.036 eV/atom
ΔE to the lowest computed polymorph = 0.044 eV/atom
Space-group type = Cm (8)
V = 102.85 Å³/cell

Cell lengths 6.2775, 6.2775, 5.2439 Å; angles 114.42, 114.42, 33.49 degrees
Closest atoms and distances in Å follow each position.
Positions (direct):
Ca 0.0000 0.0000 0.0000  2 Be 3.13, 4 Tl 3.33, 2 Ca 3.38-3.39
Ca 0.1973 0.1973 0.6969  4 Be 3.21-3.22, 2 Ca 3.38-3.39, 2 Tl 3.49-3.51
Be 0.7360 0.7360 0.2337  2 Tl 2.62
Tl 0.4110 0.4110 0.4120  2 Be 2.62

[3]
BaCo2Tc: relaxed, PBE.

Values from the calculation:
Formation enthalpy at 0 K = 1.237 eV/atom
ΔE to the lowest computed polymorph = 0.885 eV/atom
Space-group type = P2/m (10)
V = 72.68 Å³/cell

Cell lengths 4.9489, 2.8898, 5.3771 Å; angles 90.00, 109.07, 90.00 degrees
Closest atoms and distances in Å follow each position.
Positions (direct):
Ba 0.0000 0.0000 0.0000  6 Co 2.69-2.87, 2 Ba 2.89
Co 0.0000 0.0000 0.5000  2 Ba 2.69, 4 Tc 2.87, 2 Co 2.89
Co 0.5000 0.5000 0.0000  2 Tc 2.69, 4 Ba 2.87, 2 Co 2.89
Tc 0.5000 0.5000 0.5000  6 Co 2.69-2.87, 2 Tc 2.89

[4]
AlPbCl2: relaxed, PBE.

Values from the calculation:
ΔE to the lowest computed polymorph = 0.103 eV/atom
Formation energy without anion corrections = -0.489 eV/atom
Space-group type = Immm (71)
V = 95.86 Å³/cell

Cell lengths 5.8507, 5.8507, 5.8507 Å; angles 145.72, 120.30, 70.68 degrees
Closest atoms and distances in Å follow each position.
Positions (direct):
Al 0.0000 0.0000 0.0000  4 Cl 2.59
Pb 0.5000 0.5000 0.0000  8 Cl 3.33-3.49, 4 Al 3.38, 2 Pb 3.45
Cl 0.2021 0.7021 0.5000  2 Al 2.59
Cl 0.7979 0.2979 0.5000  2 Al 2.59

[5]
HoAlAg4: relaxed, PBE.

Values from the calculation:
Formation enthalpy at 0 K = -0.138 eV/atom
ΔE to the lowest computed polymorph = 0.000 eV/atom
Space-group type = F-43m (216)
V = 119.44 Å³/cell

Cell lengths 5.5279, 5.5279, 5.5279 Å; angles 60.00, 60.00, 60.00 degrees
Closest atoms and distances in Å follow each position.
Positions (direct):
Ho 0.0000 0.0000 0.0000  12 Ag 3.24, 4 Al 3.39
Al 0.2500 0.2500 0.2500  12 Ag 3.24, 4 Ho 3.39
Ag 0.1257 0.6248 0.6248  6 Ag 2.76-2.77
Ag 0.6248 0.1257 0.6248  6 Ag 2.76-2.77
Ag 0.6248 0.6248 0.1257  6 Ag 2.76-2.77
Ag 0.6248 0.6248 0.6248  6 Ag 2.76-2.77

[6]
In2RuW: relaxed, PBE.

Values from the calculation:
Formation enthalpy at 0 K = 0.514 eV/atom
ΔE to the lowest computed polymorph = 0.322 eV/atom
Space-group type = P4/mmm (123)
V = 71.20 Å³/cell

Cell lengths 2.9506, 2.9506, 8.1780 Å; angles 90.00, 90.00, 90.00 degrees
Closest atoms and distances in Å follow each position.
Positions (direct):
In 0.0000 0.0000 0.2298  4 Ru 2.81, 4 In 2.95, 4 W 3.04
In 0.0000 0.0000 0.7702  4 Ru 2.81, 4 In 2.95, 4 W 3.04
Ru 0.5000 0.5000 0.0000  8 In 2.81, 4 Ru 2.95
W 0.5000 0.5000 0.5000  4 W 2.95, 8 In 3.04

[7]
La4Pr3Y4: relaxed, PBE.

Values from the calculation:
Formation enthalpy at 0 K = 0.141 eV/atom
ΔE to the lowest computed polymorph = 0.125 eV/atom
Space-group type = Amm2 (38)
V = 389.13 Å³/cell

Cell lengths 10.8828, 6.7577, 6.7577 Å; angles 51.53, 90.00, 90.00 degrees
Closest atoms and distances in Å follow each position.
Positions (direct):
La 0.0000 0.0000 0.0000  2 Y 3.17, 2 La 3.24
La 0.2083 0.8095 0.8095  2 La 3.24-3.45, 1 Y 3.43, 2 Pr 3.52
La 0.5000 0.9204 0.9204  3 Y 3.30-3.49, 2 La 3.45
La 0.7917 0.8095 0.8095  2 La 3.24-3.45, 1 Y 3.43, 2 Pr 3.52
Pr 0.0000 0.2943 0.2943  7 La 3.58-3.86, 5 Y 3.69-3.79, 2 Pr 3.73
Pr 0.2953 0.4492 0.4492  3 Y 3.30-3.69, 2 La 3.52
Pr 0.7047 0.4492 0.4492  3 Y 3.30-3.69, 2 La 3.52
Y 0.0000 0.5976 0.5976  4 La 3.17-3.43
Y 0.3025 0.1463 0.1463  4 La 3.49-3.74, 2 Y 3.64, 4 Pr 3.69-3.79
Y 0.5000 0.6492 0.6492  2 Pr 3.30, 1 La 3.30, 4 Y 3.64
Y 0.6975 0.1463 0.1463  4 La 3.49-3.74, 2 Y 3.64, 4 Pr 3.69-3.79

[8]
FeReRh2: relaxed, PBE.

Values from the calculation:
Formation enthalpy at 0 K = -0.082 eV/atom
ΔE to the lowest computed polymorph = 0.000 eV/atom
Space-group type = P4/mmm (123)
V = 55.64 Å³/cell

Cell lengths 2.7178, 2.7178, 7.5327 Å; angles 90.00, 90.00, 90.00 degrees
Closest atoms and distances in Å follow each position.
Positions (direct):
Fe 0.0000 0.0000 0.0000  8 Rh 2.67, 4 Fe 2.72
Re 0.0000 0.0000 0.5000  8 Rh 2.71, 4 Re 2.72
Rh 0.5000 0.5000 0.2467  4 Fe 2.67, 4 Re 2.71, 4 Rh 2.72
Rh 0.5000 0.5000 0.7533  4 Fe 2.67, 4 Re 2.71, 4 Rh 2.72